i | The following is a PBE calculation of a geometry-optimized SrCrNi structure, from the Alexandria database.

Cell: 7.710 3.377 9.677 Å, 90.00 90.00 90.00°
Element x y z (fractional)
Cr  0.588  0.750  0.971
Cr  0.912  0.250  0.471
Cr  0.412  0.250  0.029
Cr  0.088  0.750  0.529
Sr  0.565  0.750  0.321
Sr  0.435  0.250  0.679
Sr  0.935  0.250  0.821
Sr  0.065  0.750  0.179
Ni  0.229  0.250  0.400
Ni  0.271  0.750  0.900
Ni  0.771  0.750  0.600
Ni  0.729  0.250  0.100

Computed properties:
The total magnetization is 0.00 μB per atom. As for the symmetry: Pnma.

ii | The following is a PBE calculation of a geometry-optimized SrCrNi structure, from the Alexandria database.

Cell: 4.113 4.113 8.361 Å, 90.00 90.00 90.00°
Site moments in Bohr magnetons follow the coordinates.
Element x y z (fractional)
Cr  0.500  0.500  0.500  1.91
Cr  0.000  0.000  0.500  1.91
Sr  0.500  0.000  0.191  -0.01
Sr  0.000  0.500  0.809  -0.01
Ni  0.000  0.500  0.360  0.23
Ni  0.500  0.000  0.640  0.23

Computed properties:
The total magnetization is 0.72 μB per atom. As for the symmetry: P4/nmm.

Least stable of them? i.

i | The following is a PBE calculation of a geometry-optimized SrRhCl structure, from the Alexandria database.

Cell: 4.306 4.306 8.145 Å, 90.00 90.00 120.00°
Element x y z (fractional)
Rh  0.333  0.667  0.750
Rh  0.667  0.333  0.250
Sr  0.000  0.000  0.000
Sr  0.000  0.000  0.500
Cl  0.667  0.333  0.750
Cl  0.333  0.667  0.250

Computed properties:
The total magnetization is 0.00 μB per atom. As for the symmetry: P6_3/mmc.

ii | The following is a PBE calculation of a geometry-optimized SrRhCl structure, from the Alexandria database.

Cell: 6.190 6.190 6.190 Å, 147.65 147.65 46.40°
Site moments in Bohr magnetons follow the coordinates.
Element x y z (fractional)
Cl  0.002  0.002  0.000  0.01
Sr  0.662  0.662  0.000  -0.01
Rh  0.336  0.336  0.000  0.27

Computed properties:
The total magnetization is 0.09 μB per atom. As for the symmetry: I4mm.

Least stable of them? ii.